No. 1
Compound: Pr3NdAl4
Source: OQMD via LeMat-Bulk
Functional: PBE
Structure: optimized geometry

## Properties
Uncorrected energy   -37.2 eV per formula unit
Space-group type   Pm (6)

Geometry as POSCAR:
```
Pr3NdAl4
1.0
6.041 0.000 0.000
0.000 5.745 0.000
-1.162 0.000 5.931
Al Pr Nd
4 3 1
Direct
0.500 0.750 0.500
0.500 0.250 0.500
0.803 0.500 0.803
0.197 0.000 0.198
0.981 0.500 0.340
0.340 0.500 0.980
0.020 0.000 0.661
0.660 0.000 0.019
```

No. 2
Compound: YNb2CuGe2
Source: OQMD via LeMat-Bulk
Functional: PBE
Structure: optimized geometry

## Properties
Uncorrected energy   -41.5 eV per formula unit
Space-group type   P4mm (99)

Geometry as POSCAR:
```
YNb2CuGe2
1.0
-0.601 -1.858 -3.438
1.770 -3.230 1.436
-6.593 -2.500 2.504
Nb Ge Y Cu
2 2 1 1
Direct
0.000 0.500 0.014
0.500 0.000 0.014
0.000 0.000 0.751
0.500 0.500 0.271
0.500 0.500 0.642
0.000 0.000 0.309
```